1.
DFT (PBE) results for a geometry-optimized ScGa2Pd2 structure.

CIF file:
```
data_ScGa2Pd2
_cell_length_a 4.0327
_cell_length_b 4.0327
_cell_length_c 10.8065
_cell_angle_alpha 90.00
_cell_angle_beta 90.00
_cell_angle_gamma 90.00
_space_group_name_H-M_alt 'I 4/m m m'
_space_group_IT_number 139
_space_group_name_Hall '-I 4 2'
loop_
_atom_site_label
_atom_site_fract_x
_atom_site_fract_y
_atom_site_fract_z
Sc1 0.0000 0.0000 0.0000
Ga1 0.0000 0.0000 0.3877
Pd1 0.0000 0.5000 0.2500
```

Output
* VASP energy: -5.20 eV/atom


2.
DFT (PBE) results for a geometry-optimized ZrB2Au structure.

CIF file:
```
data_ZrB2Au
_cell_length_a 6.1294
_cell_length_b 6.1294
_cell_length_c 6.1294
_cell_angle_alpha 90.00
_cell_angle_beta 90.00
_cell_angle_gamma 90.00
_space_group_name_H-M_alt 'F -4 3 m'
_space_group_IT_number 216
_space_group_name_Hall 'F -4 2 3'
loop_
_atom_site_label
_atom_site_fract_x
_atom_site_fract_y
_atom_site_fract_z
Zr1 0.0000 0.0000 0.0000
B1 0.0000 0.0000 0.5000
B2 0.2500 0.2500 0.7500
Au1 0.2500 0.2500 0.2500
```

Output
* VASP energy: -5.30 eV/atom


3.
DFT (PBE) results for a geometry-optimized NaSmZn structure.

CIF file:
```
data_NaSmZn
_cell_length_a 6.9925
_cell_length_b 6.9925
_cell_length_c 6.9925
_cell_angle_alpha 90.00
_cell_angle_beta 90.00
_cell_angle_gamma 90.00
_space_group_name_H-M_alt 'F -4 3 m'
_space_group_IT_number 216
_space_group_name_Hall 'F -4 2 3'
loop_
_atom_site_label
_atom_site_fract_x
_atom_site_fract_y
_atom_site_fract_z
Na1 0.0000 0.0000 0.0000
Sm1 0.0000 0.0000 0.5000
Zn1 0.2500 0.2500 0.2500
```

Output
* VASP energy: -2.24 eV/atom


4.
DFT (PBE) results for a geometry-optimized PmSbIr structure.

CIF file:
```
data_PmSbIr
_cell_length_a 6.6736
_cell_length_b 6.6736
_cell_length_c 6.6736
_cell_angle_alpha 90.00
_cell_angle_beta 90.00
_cell_angle_gamma 90.00
_space_group_name_H-M_alt 'F -4 3 m'
_space_group_IT_number 216
_space_group_name_Hall 'F -4 2 3'
loop_
_atom_site_label
_atom_site_fract_x
_atom_site_fract_y
_atom_site_fract_z
Pm1 0.0000 0.0000 0.0000
Sb1 0.0000 0.0000 0.5000
Ir1 0.2500 0.2500 0.2500
```

Output
* VASP energy: -6.65 eV/atom


5.
DFT (PBE) results for a geometry-optimized LiReAgTeSe2 structure.

CIF file:
```
data_LiReAgTeSe2
_cell_length_a 3.4650
_cell_length_b 13.7817
_cell_length_c 10.3357
_cell_angle_alpha 90.00
_cell_angle_beta 90.00
_cell_angle_gamma 90.00
_space_group_name_H-M_alt 'C m c m'
_space_group_IT_number 63
_space_group_name_Hall '-C 2c 2'
loop_
_atom_site_label
_atom_site_fract_x
_atom_site_fract_y
_atom_site_fract_z
Li1 0.0000 0.2314 0.2500
Re1 0.0000 0.0000 0.0000
Ag1 0.0000 0.4306 0.7500
Te1 0.0000 0.0939 0.7500
Se1 0.0000 0.3633 0.5238
```

Output
* VASP energy: -4.60 eV/atom


6.
DFT (PBE) results for a geometry-optimized LuZnPt structure.

CIF file:
```
data_LuZnPt
_cell_length_a 4.4309
_cell_length_b 4.4309
_cell_length_c 6.6579
_cell_angle_alpha 90.00
_cell_angle_beta 90.00
_cell_angle_gamma 120.00
_space_group_name_H-M_alt 'P 63 m c'
_space_group_IT_number 186
_space_group_name_Hall 'P 6c -2c'
loop_
_atom_site_label
_atom_site_fract_x
_atom_site_fract_y
_atom_site_fract_z
Lu1 0.0000 0.0000 0.0000
Zn1 0.3333 0.6667 0.2544
Pt1 0.3333 0.6667 0.7411
```

Output
* calculated formation energy: -0.920 eV per atom
* VASP energy: -4.87 eV/atom


7.
DFT (PBE) results for a geometry-optimized SrMgCoSb structure.

CIF file:
```
data_SrMgCoSb
_cell_length_a 7.2526
_cell_length_b 7.2526
_cell_length_c 7.2526
_cell_angle_alpha 90.00
_cell_angle_beta 90.00
_cell_angle_gamma 90.00
_space_group_name_H-M_alt 'F -4 3 m'
_space_group_IT_number 216
_space_group_name_Hall 'F -4 2 3'
loop_
_atom_site_label
_atom_site_fract_x
_atom_site_fract_y
_atom_site_fract_z
Sr1 0.0000 0.0000 0.0000
Mg1 0.0000 0.0000 0.5000
Co1 0.2500 0.2500 0.7500
Sb1 0.2500 0.2500 0.2500
```

Output
* VASP energy: -3.52 eV/atom


8.
DFT (PBE) results for a geometry-optimized FeReIrPb structure.

CIF file:
```
data_FeReIrPb
_cell_length_a 6.3833
_cell_length_b 6.3833
_cell_length_c 6.3833
_cell_angle_alpha 90.00
_cell_angle_beta 90.00
_cell_angle_gamma 90.00
_space_group_name_H-M_alt 'F -4 3 m'
_space_group_IT_number 216
_space_group_name_Hall 'F -4 2 3'
loop_
_atom_site_label
_atom_site_fract_x
_atom_site_fract_y
_atom_site_fract_z
Fe1 0.0000 0.0000 0.0000
Re1 0.2500 0.2500 0.2500
Ir1 0.0000 0.0000 0.5000
Pb1 0.2500 0.2500 0.7500
```

Output
* VASP energy: -7.59 eV/atom


9.
DFT (PBE) results for a geometry-optimized MgCdSO structure.

CIF file:
```
data_MgCdSO
_cell_length_a 3.9987
_cell_length_b 3.9987
_cell_length_c 9.5656
_cell_angle_alpha 90.00
_cell_angle_beta 90.00
_cell_angle_gamma 90.00
_space_group_name_H-M_alt 'P 4/n m m'
_space_group_IT_number 129
loop_
_space_group_symop_operation_xyz
'x,y,z'
'-x,-y,-z'
'-y+1/2,x,z'
'y+1/2,-x,-z'
'-x+1/2,-y+1/2,z'
'x+1/2,y+1/2,-z'
'y,-x+1/2,z'
'-y,x+1/2,-z'
'x+1/2,-y,-z'
'-x+1/2,y,z'
'-y,-x,-z'
'y,x,z'
'-x,y+1/2,-z'
'x,-y+1/2,z'
'y+1/2,x+1/2,-z'
'-y+1/2,-x+1/2,z'
loop_
_atom_site_label
_atom_site_fract_x
_atom_site_fract_y
_atom_site_fract_z
Mg1 0.2500 0.2500 0.1273
Cd1 0.2500 0.2500 0.5915
S1 0.2500 0.2500 0.8687
O1 0.2500 0.7500 0.5000
```

Output
* VASP energy: -3.74 eV/atom


10.
DFT (PBE) results for a geometry-optimized LiLuGaCo structure.

CIF file:
```
data_LiLuGaCo
_cell_length_a 6.3171
_cell_length_b 6.3171
_cell_length_c 6.3171
_cell_angle_alpha 90.00
_cell_angle_beta 90.00
_cell_angle_gamma 90.00
_space_group_name_H-M_alt 'F -4 3 m'
_space_group_IT_number 216
_space_group_name_Hall 'F -4 2 3'
loop_
_atom_site_label
_atom_site_fract_x
_atom_site_fract_y
_atom_site_fract_z
Li1 0.0000 0.0000 0.0000
Lu1 0.2500 0.2500 0.2500
Ga1 0.0000 0.0000 0.5000
Co1 0.2500 0.2500 0.7500
```

Output
* VASP energy: -4.25 eV/atom


11.
DFT (PBE) results for a geometry-optimized TbDySi2W2C structure.

CIF file:
```
data_TbDySi2W2C
_cell_length_a 11.0968
_cell_length_b 3.8430
_cell_length_c 7.1369
_cell_angle_alpha 90.00
_cell_angle_beta 125.31
_cell_angle_gamma 90.00
_space_group_name_H-M_alt 'C 1 m 1'
_space_group_IT_number 8
_space_group_name_Hall 'C -2y'
loop_
_atom_site_label
_atom_site_fract_x
_atom_site_fract_y
_atom_site_fract_z
Tb1 0.0000 0.0000 0.0000
Dy1 0.3507 0.5000 0.4073
Si1 0.0571 0.5000 0.3655
Si2 0.2934 0.0000 0.0417
W1 0.1325 0.5000 0.7867
W2 0.2178 0.0000 0.6197
C1 0.4249 0.0000 0.7024
```

Output
* VASP energy: -8.43 eV/atom


12.
DFT (PBE) results for a geometry-optimized TaNb2Sb structure.

CIF file:
```
data_TaNb2Sb
_cell_length_a 5.2983
_cell_length_b 7.5024
_cell_length_c 7.5037
_cell_angle_alpha 90.00
_cell_angle_beta 90.00
_cell_angle_gamma 90.00
_space_group_name_H-M_alt 'A m a 2'
_space_group_IT_number 40
_space_group_name_Hall 'A 2 -2a'
loop_
_atom_site_label
_atom_site_fract_x
_atom_site_fract_y
_atom_site_fract_z
Ta1 0.2500 0.1245 0.0000
Nb1 0.0000 0.0000 0.3744
Nb2 0.2500 0.3749 0.2504
Sb1 0.2500 0.2499 0.6250
```

Output
* VASP energy: -9.26 eV/atom


13.
DFT (PBE) results for a geometry-optimized PuUW structure.

CIF file:
```
data_PuUW
_cell_length_a 6.1596
_cell_length_b 6.1596
_cell_length_c 6.1596
_cell_angle_alpha 90.00
_cell_angle_beta 90.00
_cell_angle_gamma 90.00
_space_group_name_H-M_alt 'F -4 3 m'
_space_group_IT_number 216
_space_group_name_Hall 'F -4 2 3'
loop_
_atom_site_label
_atom_site_fract_x
_atom_site_fract_y
_atom_site_fract_z
Pu1 0.0000 0.0000 0.0000
U1 0.2500 0.2500 0.7500
W1 0.2500 0.2500 0.2500
```

Output
* calculated formation energy: 0.695 eV per atom
* VASP energy: -12.10 eV/atom


14.
DFT (PBE) results for a geometry-optimized Nd4Sm4Se3 structure.

CIF file:
```
data_Nd4Sm4Se3
_cell_length_a 10.6629
_cell_length_b 3.6395
_cell_length_c 16.8762
_cell_angle_alpha 90.00
_cell_angle_beta 90.00
_cell_angle_gamma 90.00
_space_group_name_H-M_alt 'A m m 2'
_space_group_IT_number 38
_space_group_name_Hall 'A 2 -2'
loop_
_atom_site_label
_atom_site_fract_x
_atom_site_fract_y
_atom_site_fract_z
Nd1 0.0000 0.0000 0.0000
Nd2 0.2314 0.0000 0.8442
Nd3 0.5000 0.0000 0.9818
Sm1 0.0000 0.0000 0.6949
Sm2 0.2740 0.0000 0.1379
Sm3 0.5000 0.0000 0.7437
Se1 0.0000 0.0000 0.3458
Se2 0.2625 0.0000 0.4891
```

Output
* VASP energy: -5.13 eV/atom


15.
DFT (PBE) results for a geometry-optimized ErNpHg structure.

CIF file:
```
data_ErNpHg
_cell_length_a 7.1668
_cell_length_b 7.1668
_cell_length_c 7.1668
_cell_angle_alpha 90.00
_cell_angle_beta 90.00
_cell_angle_gamma 90.00
_space_group_name_H-M_alt 'F -4 3 m'
_space_group_IT_number 216
_space_group_name_Hall 'F -4 2 3'
loop_
_atom_site_label
_atom_site_fract_x
_atom_site_fract_y
_atom_site_fract_z
Er1 0.0000 0.0000 0.0000
Np1 0.0000 0.0000 0.5000
Hg1 0.2500 0.2500 0.2500
```

Output
* calculated formation energy: 0.446 eV per atom
* VASP energy: -5.43 eV/atom


16.
DFT (PBE) results for a geometry-optimized BaDyZnSb2 structure.

CIF file:
```
data_BaDyZnSb2
_cell_length_a 4.7108
_cell_length_b 18.4302
_cell_length_c 7.1201
_cell_angle_alpha 90.00
_cell_angle_beta 90.00
_cell_angle_gamma 90.00
_space_group_name_H-M_alt 'C m c 21'
_space_group_IT_number 36
_space_group_name_Hall 'C 2c -2'
loop_
_atom_site_label
_atom_site_fract_x
_atom_site_fract_y
_atom_site_fract_z
Ba1 0.0000 0.2020 0.0000
Dy1 0.0000 0.0078 0.7349
Zn1 0.0000 0.4096 0.8850
Sb1 0.0000 0.1508 0.4935
Sb2 0.0000 0.4366 0.4954
```

Output
* VASP energy: -3.99 eV/atom


17.
DFT (PBE) results for a geometry-optimized SrAl3Ag structure.

CIF file:
```
data_SrAl3Ag
_cell_length_a 6.4286
_cell_length_b 11.2025
_cell_length_c 6.0951
_cell_angle_alpha 90.00
_cell_angle_beta 90.00
_cell_angle_gamma 90.00
_space_group_name_H-M_alt 'C m c m'
_space_group_IT_number 63
_space_group_name_Hall '-C 2c 2'
loop_
_atom_site_label
_atom_site_fract_x
_atom_site_fract_y
_atom_site_fract_z
Sr1 0.0000 0.2401 0.2500
Al1 0.0000 0.3497 0.7500
Al2 0.2230 0.5000 0.0000
Ag1 0.0000 0.1159 0.7500
```

Output
* VASP energy: -3.43 eV/atom


18.
DFT (PBE) results for a geometry-optimized SnTeW structure.

CIF file:
```
data_SnTeW
_cell_length_a 6.6799
_cell_length_b 6.6799
_cell_length_c 6.6799
_cell_angle_alpha 90.00
_cell_angle_beta 90.00
_cell_angle_gamma 90.00
_space_group_name_H-M_alt 'F -4 3 m'
_space_group_IT_number 216
_space_group_name_Hall 'F -4 2 3'
loop_
_atom_site_label
_atom_site_fract_x
_atom_site_fract_y
_atom_site_fract_z
Sn1 0.0000 0.0000 0.0000
Te1 0.0000 0.0000 0.5000
W1 0.2500 0.2500 0.2500
```

Output
* VASP energy: -5.97 eV/atom


19.
DFT (PBE) results for a geometry-optimized TbInPO structure.

CIF file:
```
data_TbInPO
_cell_length_a 4.4867
_cell_length_b 6.2131
_cell_length_c 6.5324
_cell_angle_alpha 90.00
_cell_angle_beta 90.00
_cell_angle_gamma 90.00
_space_group_name_H-M_alt 'P m c 21'
_space_group_IT_number 26
_space_group_name_Hall 'P 2c -2'
loop_
_atom_site_label
_atom_site_fract_x
_atom_site_fract_y
_atom_site_fract_z
Tb1 0.0000 0.1457 0.0000
In1 0.5000 0.2919 0.3948
P1 0.5000 0.3010 0.7936
O1 0.0000 0.1526 0.3350
```

Output
* VASP energy: -5.74 eV/atom


20.
DFT (PBE) results for a geometry-optimized Zr2Al3C5 structure.

CIF file:
```
data_Zr2Al3C5
_cell_length_a 3.2502
_cell_length_b 3.2502
_cell_length_c 24.4251
_cell_angle_alpha 90.00
_cell_angle_beta 90.00
_cell_angle_gamma 120.00
_space_group_name_H-M_alt 'P 63/m m c'
_space_group_IT_number 194
_space_group_name_Hall '-P 6c 2c'
loop_
_atom_site_label
_atom_site_fract_x
_atom_site_fract_y
_atom_site_fract_z
Zr1 0.3333 0.6667 0.0566
Al1 0.0000 0.0000 0.1538
Al2 0.3333 0.6667 0.7500
C1 0.0000 0.0000 0.0000
C2 0.3333 0.6667 0.2172
C3 0.3333 0.6667 0.6142
```

Output
* VASP energy: -7.51 eV/atom